# 1
The following is a DFT calculation (PBE) of a relaxed ZrFe2CuC crystal.

abc: 3.8861 3.9173 3.8861
angles: 90.00 90.00 90.00
Sites, in units of the cell vectors:
C 0.0000 0.0000 0.0000
Cu 0.0000 0.5000 0.0000
Zr 0.5000 0.5000 0.5000
Fe 0.0000 0.0000 0.5000
Fe 0.5000 0.0000 0.0000

Results
Energy of formation from the pure elements, eV per formula unit: 0.2
Total DFT energy (no corrections), eV/atom: -7.712
ΔE to the lowest computed polymorph, meV per atom: 0

# 2
The following is a DFT calculation (PBE) of a relaxed GaCuC crystal.

abc: 4.4432 4.1919 5.6180
angles: 110.12 83.55 66.77
Sites, in units of the cell vectors:
C 0.6842 0.5258 0.8063
C 0.9349 0.2040 0.7679
Ga 0.3809 0.0257 0.1767
Ga 0.9392 0.8400 0.3684
Cu 0.3935 0.7869 0.6282
Cu 0.7641 0.3293 0.1651

Results
Energy of formation from the pure elements, eV per formula unit: 1.6
Total DFT energy (no corrections), eV/atom: -4.903